Density functional theory data (PBE) for a relaxed Co6Ge2C crystal.

Values from the calculation:
ΔE_f (eV/atom): -0.050

Structure (extended XYZ):
```
9
Lattice="3.699 0.000 0.000 0.000 3.699 0.000 0.000 0.000 7.134" Properties=species:S:1:pos:R:3 pbc="T T T"
Co 0.000 0.000 1.723
Co 0.000 0.000 5.411
Co 0.000 1.849 0.000
Co 0.000 1.849 3.567
Co 1.849 0.000 0.000
Co 1.849 0.000 3.567
Ge 1.849 1.849 1.642
Ge 1.849 1.849 5.492
C 0.000 0.000 3.567
```

Density functional theory data (PBE) for a relaxed Co2GeC crystal.

Values from the calculation:
ΔE_f (eV/atom): 0.384

Structure (extended XYZ):
```
8
Lattice="-2.434 2.434 4.426 2.434 -2.434 4.426 2.434 2.434 -4.426" Properties=species:S:1:pos:R:3 pbc="T T T"
Co 3.651 0.749 -1.107
Co 0.749 1.217 1.107
Co -1.217 1.685 3.320
Co 1.685 1.217 5.533
Ge 2.434 0.000 2.213
Ge 0.000 0.000 4.426
C 0.000 0.000 0.000
C 0.000 2.434 2.213
```

Density functional theory data (PBE) for a relaxed CoGe2C crystal.

Values from the calculation:
ΔE_f (eV/atom): 0.635

Structure (extended XYZ):
```
8
Lattice="-2.665 2.665 4.138 2.665 -2.665 4.138 2.665 2.665 -4.138" Properties=species:S:1:pos:R:3 pbc="T T T"
Co 0.000 0.000 0.000
Co 0.000 2.665 2.069
Ge 1.332 -1.071 3.104
Ge 1.594 1.332 1.035
Ge 1.332 3.736 -1.035
Ge 1.071 1.332 5.173
C 2.665 0.000 2.069
C 0.000 0.000 4.138
```